{
  "formula": "Cs3EuF6",
  "functional": "SCAN",
  "state": "PBEsol geometry",
  "volume_a3_per_atom": 25.53,
  "formation_energy_uncorrected_mev_per_atom": -3175,
  "space_group": "No. 139",
  "lattice": [[7.1279, -0.0184, -0.0261], [-3.5699, 6.1696, 0.0261], [-3.5699, -2.0397, 5.8227]],
  "species": ["Eu", "Cs", "Cs", "Cs", "F", "F", "F", "F", "F", "F"],
  "frac_coords": [[0.0000, 0.0000, 0.0000], [0.5000, 0.7500, 0.2500], [0.0000, 0.5000, 0.5000], [0.5000, 0.2500, 0.7500], [0.3087, 0.3087, 0.0000], [0.3087, 0.0000, 0.3087], [0.6913, 0.0000, 0.6913], [0.6913, 0.6913, 0.0000], [0.0000, 0.7741, 0.7741], [0.0000, 0.2259, 0.2259]]
}

{
  "formula": "LaSc2Te",
  "functional": "SCAN",
  "state": "PBEsol geometry",
  "volume_a3_per_atom": 24.56,
  "formation_energy_uncorrected_mev_per_atom": -533,
  "space_group": "No. 123",
  "lattice": [[3.6995, 0.0000, 0.0000], [0.0000, 3.6995, 0.0000], [0.0000, 0.0000, 7.1771]],
  "species": ["La", "Sc", "Sc", "Te"],
  "frac_coords": [[0.5000, 0.5000, 0.5000], [0.0000, 0.0000, 0.7838], [0.0000, 0.0000, 0.2162], [0.5000, 0.5000, 0.0000]]
}

{
  "formula": "LiIn",
  "functional": "SCAN",
  "state": "PBEsol geometry",
  "volume_a3_per_atom": 20.36,
  "delta_e_f_ev_per_atom": -0.262,
  "space_group": "No. 59",
  "lattice": [[-0.0548, -2.7496, -1.5084], [4.6933, 0.6411, -1.3390], [1.5877, -2.4429, 4.3953]],
  "species": ["In", "In", "Li", "Li"],
  "frac_coords": [[0.0000, 0.0000, 0.6226], [0.5000, 0.5000, 0.3774], [0.5000, 0.0000, 0.0984], [0.0000, 0.5000, 0.9016]]
}

{
  "formula": "SrHgO2",
  "functional": "SCAN",
  "state": "PBEsol geometry",
  "volume_a3_per_atom": 19.81,
  "formation_energy_uncorrected_mev_per_atom": -584,
  "space_group": "No. 166",
  "lattice": [[3.7271, 0.0000, 0.0000], [1.8636, 3.2278, 0.0000], [1.8636, 1.0759, 6.5876]],
  "species": ["Sr", "Hg", "O", "O"],
  "frac_coords": [[0.0000, 0.0000, 0.0000], [0.5000, 0.5000, 0.5000], [0.8862, 0.8862, 0.3414], [0.1138, 0.1138, 0.6586]]
}

{
  "formula": "Cl",
  "functional": "SCAN",
  "state": "PBEsol geometry",
  "volume_a3_per_atom": 21.54,
  "formation_energy_uncorrected_mev_per_atom": 725,
  "space_group": "No. 221",
  "lattice": [[2.7824, 0.0000, 0.0000], [0.0000, 2.7824, 0.0000], [0.0000, 0.0000, 2.7824]],
  "species": ["Cl"],
  "frac_coords": [[0.5000, 0.5000, 0.5000]]
}

{
  "formula": "MgSeNF2",
  "functional": "SCAN",
  "state": "PBEsol geometry",
  "volume_a3_per_atom": 13.26,
  "formation_energy_uncorrected_mev_per_atom": -1009,
  "space_group": "No. 123",
  "lattice": [[-1.1684, -2.9877, 1.5102], [2.2882, 0.4548, 2.6701], [-3.6355, 2.7591, 2.6455]],
  "species": ["Mg", "N", "Se", "F", "F"],
  "frac_coords": [[0.0000, 0.0000, 0.0000], [0.0000, 0.0000, 0.5000], [0.5000, 0.5000, 0.5000], [0.0000, 0.5000, 0.0000], [0.5000, 0.0000, 0.0000]]
}

{
  "formula": "Al2Ag",
  "functional": "SCAN",
  "state": "PBEsol geometry",
  "volume_a3_per_atom": 16.24,
  "delta_e_f_ev_per_atom": -0.084,
  "space_group": "No. 164",
  "lattice": [[2.9380, 0.0000, 0.0000], [-1.4690, 2.5443, 0.0000], [0.0000, 0.0000, 6.5174]],
  "species": ["Al", "Al", "Ag"],
  "frac_coords": [[0.3333, 0.6667, 0.3303], [0.6667, 0.3333, 0.6697], [0.0000, 0.0000, 0.0000]]
}

{
  "formula": "BaTl2Rh",
  "functional": "SCAN",
  "state": "PBEsol geometry",
  "volume_a3_per_atom": 26.27,
  "delta_e_f_ev_per_atom": -0.169,
  "space_group": "No. 71",
  "lattice": [[-0.9175, 2.5631, 2.3116], [0.6189, -3.5891, 4.2251], [5.2131, 1.9181, -2.8165]],
  "species": ["Ba", "Rh", "Tl", "Tl"],
  "frac_coords": [[0.5000, 0.0000, 0.0000], [0.0000, 0.5000, 0.0000], [0.7025, 0.7025, 0.4051], [0.2975, 0.2975, 0.5949]]
}

{
  "formula": "Zr2ScCd",
  "functional": "SCAN",
  "state": "PBEsol geometry",
  "volume_a3_per_atom": 21.53,
  "delta_e_f_ev_per_atom": -0.111,
  "space_group": "No. 8",
  "lattice": [[-2.7523, 1.0207, 1.2181], [-2.2338, -4.8792, -0.9586], [3.7841, 0.0992, 4.3207]],
  "species": ["Sc", "Zr", "Zr", "Cd"],
  "frac_coords": [[0.7606, 0.3317, 0.5211], [0.9965, 0.9350, 0.9929], [0.2405, 0.8165, 0.4810], [0.5025, 0.4167, 0.0049]]
}

{
  "formula": "AlCrSCl2",
  "functional": "SCAN",
  "state": "PBEsol geometry",
  "volume_a3_per_atom": 20.68,
  "formation_energy_uncorrected_mev_per_atom": -564,
  "space_group": "No. 123",
  "lattice": [[4.5496, 0.0000, 0.0000], [0.0000, 4.7678, 0.0000], [0.0000, 0.0000, 4.7678]],
  "species": ["Cr", "S", "Al", "Cl", "Cl"],
  "frac_coords": [[0.0000, 0.0000, 0.0000], [0.5000, 0.0000, 0.0000], [0.5000, 0.5000, 0.5000], [0.0000, 0.0000, 0.5000], [0.0000, 0.5000, 0.0000]]
}